1.
Density functional theory data (PBE) for Sm6Er2Tm3Th after structural relaxation.

Cell: 6.1883 10.7117 11.8186 Å, 90.00 100.07 90.00°
Last column: nearest neighbours and their distance in Å.
Space group C2/m (No. 12)
One atom of each set of equivalent atoms:
Sm  0.2462  0.0000  0.2498 [4 per cell]  6 Sm 3.54-3.59, 1 Th 3.56, 3 Tm 3.56-3.58, 2 Er 3.57
Sm  0.2493  0.1652  0.7504 [8 per cell]  6 Sm 3.54-3.59, 3 Tm 3.56-3.57, 1 Th 3.56, 2 Er 3.57-3.58
Er  0.0000  0.3333  0.5000 [4 per cell]  3 Th 3.57, 3 Er 3.57, 6 Sm 3.57-3.58
Tm  0.0000  0.1670  0.0000 [4 per cell]  6 Sm 3.56-3.57, 6 Tm 3.57-3.58
Tm  0.0000  0.5000  0.0000 [2 per cell]  6 Sm 3.56-3.58, 6 Tm 3.57
Th  0.0000  0.0000  0.5000 [2 per cell]  6 Sm 3.56, 6 Er 3.57

Summary:
- Calculated formation energy: 0.033 eV per atom

2.
Density functional theory data (PBE) for La3Dy3Tm4 after structural relaxation.

Cell: 3.6634 13.5251 13.5303 Å, 90.00 90.00 90.00°
Last column: nearest neighbours and their distance in Å.
Space group Amm2 (No. 38)
One atom of each set of equivalent atoms:
La  0.0000  0.0000  0.0000 [2 per cell]  6 Tm 3.35-3.47, 2 La 3.66
La  0.5000  0.2460  0.5772 [4 per cell]  4 La 3.66-4.03, 4 Tm 3.69-3.90, 6 Dy 3.92-3.99
Dy  0.0000  0.0000  0.6501 [2 per cell]  6 Tm 3.29-3.38, 2 Dy 3.66
Dy  0.0000  0.1731  0.3266 [4 per cell]  6 Tm 3.32-3.40, 2 Dy 3.66
Tm  0.5000  0.0000  0.2071 [2 per cell]  1 Tm 3.26, 2 La 3.35, 4 Dy 3.38
Tm  0.5000  0.0000  0.4483 [2 per cell]  1 Tm 3.26, 6 Dy 3.29-3.40
Tm  0.5000  0.1227  0.8205 [4 per cell]  4 Dy 3.32-3.38, 3 Tm 3.32-3.66, 3 La 3.47-3.69

Summary:
- Calculated formation energy: 0.085 eV per atom

3.
Density functional theory data (PBE) for LiY2Si after structural relaxation.

Cell: 3.6281 3.6281 7.0600 Å, 90.00 90.00 90.00°
Last column: nearest neighbours and their distance in Å.
Space group P4/mmm (No. 123)
One atom of each set of equivalent atoms:
Li  0.0000  0.0000  0.0000 [1 per cell]  8 Y 3.17, 2 Si 3.53
Y  0.5000  0.5000  0.2640 [2 per cell]  4 Si 3.06, 4 Li 3.17, 1 Y 3.33
Si  0.0000  0.0000  0.5000 [1 per cell]  8 Y 3.06

Summary:
- ΔE_f (raw): -6.12 kcal/mol of atoms

4.
Density functional theory data (PBE) for BRhSe2Br after structural relaxation.

Cell: 4.8209 4.8209 5.2793 Å, 90.00 90.00 90.00°
Last column: nearest neighbours and their distance in Å.
Space group P4/mmm (No. 123)
One atom of each set of equivalent atoms:
B  0.0000  0.0000  0.0000 [1 per cell]  4 Br 3.41, 8 Se 3.57
Rh  0.5000  0.5000  0.5000 [1 per cell]  4 Se 2.41, 2 Br 2.64
Se  0.0000  0.5000  0.5000 [2 per cell]  2 Rh 2.41
Br  0.5000  0.5000  0.0000 [1 per cell]  2 Rh 2.64

Summary:
- Excess energy over the best structure of this formula in the dataset: 0.1213 eV per atom
- ΔE_f (raw): 25.55 kcal/mol of atoms